! Tl2AsWO6 (PBE with a Hubbard U, relaxed); values from VASP
! **Size of the total moment**: 0.00 μB/atom
! **Energy**: -5.774 eV per atom
! **Density of states at the Fermi level**: 4.6 states/eV/cell
&SYSTEM
  ibrav = 0, nat = 10, ntyp = 4
/
ATOMIC_SPECIES
Tl 204.38 Tl.upf
As 74.92 As.upf
W 183.84 W.upf
O 16.00 O.upf
ATOMIC_POSITIONS angstrom
Tl 2.9052 0.0000 2.0504
Tl 0.0000 2.9052 2.0504
As 0.0000 0.0000 0.0000
W 0.0000 0.0000 4.1008
O 0.0000 0.0000 2.1380
O 1.5181 1.5181 0.0000
O 1.3871 -1.3871 4.1008
O -1.3871 1.3871 4.1008
O 0.0000 0.0000 6.0636
O 1.3871 1.3871 4.1008
CELL_PARAMETERS angstrom
-2.9052 2.9052 4.1008
2.9052 -2.9052 4.1008
2.9052 2.9052 -4.1008